Bi2RuAu: relaxed, GGA-PBE.

Results
* ΔE_f: 0.5044 eV/atom

Cell lengths 6.7015, 6.7015, 7.1866 Å; angles 62.21, 62.21, 90.00 degrees
Closest atoms and distances in Å follow each position.
Fractional coordinates of all 8 atoms:
Bi 0.3750 0.4011 0.7500  2 Ru 2.62, 2 Au 2.84
Bi 0.1511 0.6250 0.2500  2 Ru 2.62, 2 Au 2.84
Bi 0.8750 0.8489 0.7500  2 Ru 2.62, 2 Au 2.84
Ru 0.2500 0.7500 0.5000  4 Bi 2.62
Au 0.7500 0.2500 0.5000  4 Bi 2.84
Bi 0.5989 0.1250 0.2500  2 Ru 2.62, 2 Au 2.84
Ru 0.5000 0.5000 0.0000  4 Bi 2.62
Au 0.0000 0.0000 0.0000  4 Bi 2.84

=====

Bi2RuAuS: relaxed, GGA-PBE.

Results
* formation energy from raw total energies: 484 kJ/mol of formula units

Cell lengths 5.3780, 4.6145, 5.3780 Å; angles 90.00, 90.00, 90.00 degrees
Closest atoms and distances in Å follow each position.
Fractional coordinates of all 5 atoms:
Ru 0.5000 0.5000 0.5000  8 Bi 3.54, 4 Au 3.80
S 0.0000 0.0000 0.0000  2 Au 2.31
Bi 0.5000 0.0000 0.0000  2 S 2.69
Bi 0.0000 0.0000 0.5000  2 S 2.69
Au 0.0000 0.5000 0.0000  2 S 2.31

=====

Fermi-level density of states for every record listed, in sequence, given in states/eV per atom: 0.6728, 1.2471.
Density for every record listed, in sequence, given in g/cm3: 9.8, 9.3.